## Ce3PN5 (PBE)

Data for a geometry-optimized Ce3PN5 structure.

Cell lengths 6.656, 6.656, 7.178 Å; angles 117.62, 117.62, 90.00 degrees
Fractional coordinates of all 18 atoms:
N1 0.709 0.209 0.693
N2 0.517 0.291 0.307
N3 0.500 0.500 0.000
N4 0.291 0.791 0.307
N5 0.983 0.483 0.693
N6 0.791 0.017 0.307
N7 0.017 0.517 0.307
N8 0.483 0.709 0.693
N9 0.000 0.000 0.000
N10 0.209 0.983 0.693
Ce1 0.681 0.181 0.000
Ce2 0.319 0.819 0.000
Ce3 0.750 0.750 0.500
Ce4 0.819 0.681 0.000
Ce5 0.250 0.250 0.500
Ce6 0.181 0.319 0.000
P1 0.250 0.750 0.500
P2 0.750 0.250 0.500

Formation energy without anion corrections, meV/atom: -1297
V, Å³/cell: 240

***

## Ce2P2N5 (PBE)

Data for a geometry-optimized Ce2P2N5 structure.

Cell lengths 5.368, 3.941, 6.776 Å; angles 92.69, 113.78, 86.74 degrees
Fractional coordinates of all 9 atoms:
N1 0.313 0.282 0.839
N2 0.730 0.279 0.620
N3 0.000 0.000 0.000
N4 0.270 0.721 0.380
N5 0.687 0.718 0.161
P1 0.978 0.894 0.227
P2 0.022 0.106 0.773
Ce1 0.484 0.264 0.245
Ce2 0.516 0.736 0.755

Formation energy without anion corrections, meV/atom: -863
V, Å³/cell: 131

***

## Ce2P2N (PBE)

Data for a geometry-optimized Ce2P2N structure.

Cell lengths 5.680, 6.068, 7.188 Å; angles 114.97, 113.27, 90.00 degrees
Fractional coordinates of all 10 atoms:
P1 0.852 0.674 0.703
P2 0.352 0.030 0.703
P3 0.148 0.326 0.297
P4 0.648 0.970 0.297
Ce1 0.108 0.822 0.216
Ce2 0.608 0.394 0.216
Ce3 0.392 0.606 0.784
Ce4 0.892 0.178 0.784
N1 0.750 0.500 0.000
N2 0.250 0.500 0.000

Formation energy without anion corrections, meV/atom: -1100
V, Å³/cell: 202

***

## Ce3P2N (PBE)

Data for a geometry-optimized Ce3P2N structure.

Cell lengths 6.718, 6.829, 6.829 Å; angles 119.85, 99.31, 99.31 degrees
Fractional coordinates of all 12 atoms:
P1 0.250 0.243 0.757
P2 0.750 0.083 0.917
P3 0.750 0.757 0.243
P4 0.250 0.917 0.083
Ce1 0.000 0.500 0.000
Ce2 0.503 0.646 0.795
Ce3 0.500 0.000 0.500
Ce4 0.003 0.795 0.646
Ce5 0.497 0.354 0.205
Ce6 0.997 0.205 0.354
N1 0.250 0.573 0.427
N2 0.750 0.427 0.573

Formation energy without anion corrections, meV/atom: -1365
V, Å³/cell: 257

***

## Ce5P5N (PBE)

Data for a geometry-optimized Ce5P5N structure.

Cell lengths 5.633, 6.951, 7.932 Å; angles 106.90, 90.00, 113.91 degrees
Fractional coordinates of all 11 atoms:
P1 0.331 0.662 0.157
P2 0.000 0.000 0.500
P3 0.316 0.632 0.674
P4 0.684 0.368 0.326
P5 0.669 0.338 0.843
Ce1 0.500 0.000 0.000
Ce2 0.851 0.703 0.159
Ce3 0.160 0.320 0.323
Ce4 0.149 0.297 0.841
Ce5 0.840 0.680 0.677
N1 0.000 0.000 0.000

Formation energy without anion corrections, meV/atom: -1088
V, Å³/cell: 269

***

## Ce6P3N (PBE)

Data for a geometry-optimized Ce6P3N structure.

Cell lengths 7.686, 6.371, 6.371 Å; angles 59.77, 64.86, 64.86 degrees
Fractional coordinates of all 10 atoms:
Ce1 0.846 0.288 0.288
Ce2 0.154 0.712 0.712
Ce3 0.657 0.318 0.833
Ce4 0.343 0.682 0.167
Ce5 0.657 0.833 0.318
Ce6 0.343 0.167 0.682
P1 0.000 0.000 0.000
P2 0.278 0.197 0.197
P3 0.722 0.803 0.803
N1 0.500 0.500 0.500

Formation energy without anion corrections, meV/atom: -905
V, Å³/cell: 235

***

| no. | DFT total energy (Ha/atom) |
| --- | --- |
| 1 | -0.31240 |
| 2 | -0.29433 |
| 3 | -0.26837 |
| 4 | -0.27644 |
| 5 | -0.25729 |
| 6 | -0.25435 |